A plane-wave DFT calculation with PBE-GGA was carried out for a relaxed SrSmPdAu crystal.

SG: No. 38
ΔE_f: -731 meV/atom
DOS at the Fermi energy: 2.96 states/eV/cell
crystal system: orthorhombic
polymorph energy (0 for the lowest one): 0.000 eV/atom

Cell and atoms, written as POSCAR:
```
SrSmPdAu
1.0
4.640 0.000 0.000
0.000 2.015 5.661
0.000 -2.015 5.661
Sr Sm Pd Au
1 1 1 1
Direct
0.000 0.000 0.000
0.500 0.276 0.276
0.000 0.729 0.729
0.500 0.565 0.565
```